Below is a relaxed structure of ReSi3, with properties calculated at the PBE level.

The energy relative to the elements, uncorrected comes out at 13.9 kJ/mol of atoms.

The structure belongs to space group R-3m (No. 166, hexagonal axes); the cell edges are 3.0135, 3.0135 and 21.9432 Å and the angles 90.00°, 90.00° and 120.00°. The asymmetric unit holds Re at (0.0000, 0.0000, 0.0000), Si at (0.0000, 0.0000, 0.2514) and Si at (0.0000, 0.0000, 0.5000).